1.
Co2BPt GGA-PBE optimized geometry; magnetization = 3.25 μB per formula unit; density = 12.1 g/cm3; energy = -25.63 eV per cell
1.0
0.5027 1.7248 3.5414
-2.7380 -0.4601 2.8391
0.8044 -2.2194 3.1932
B Co Pt
1 2 1
direct
0.5000 0.5000 0.5000
0.0000 0.0000 0.0000
0.7500 0.7500 0.7500
0.2500 0.2500 0.2500

---

2.
CoB4Pt GGA-PBE optimized geometry; magnetization = 1.48 μB per formula unit; E above lowest polymorph = 0.047 eV per atom; density = 9.4 g/cm3; energy = -37.80 eV per cell
1.0
-1.5140 2.6119 3.3067
1.5140 -2.6119 3.3067
1.5140 2.6119 -3.3067
B Pt Co
4 1 1
direct
0.5978 0.2645 0.3333
0.4022 0.7355 0.6667
0.9312 0.2645 0.6667
0.0688 0.7355 0.3333
0.5000 0.5000 0.0000
0.0000 0.0000 0.0000

---

3.
CoB4Pt GGA-PBE optimized geometry; magnetization = 0.80 μB per formula unit; E above lowest polymorph = 0.000 eV per atom; density = 9.6 g/cm3; energy = -38.08 eV per cell
1.0
-2.7270 -1.2940 -0.3016
2.0356 -1.1805 1.9142
-2.2853 3.7154 4.7215
B Co Pt
4 1 1
direct
0.3333 0.6667 0.2836
0.6667 0.3333 0.2836
0.3333 0.6667 0.7164
0.6667 0.3333 0.7164
0.0000 0.0000 0.5000
0.0000 0.0000 0.0000

---

4.
CoB2Pt2 GGA-PBE optimized geometry; magnetization = 1.34 μB per formula unit; density = 13.3 g/cm3; energy = -32.16 eV per cell
1.0
4.8841 0.5644 0.0102
1.5158 4.5868 0.9147
-3.1431 -3.1141 2.1439
B Co Pt
2 1 2
direct
0.3975 0.3975 0.0000
0.6025 0.6025 0.0000
0.0000 0.0000 0.0000
0.2500 0.7500 0.5000
0.7500 0.2500 0.5000

---

5.
TaCoBPt GGA-PBE optimized geometry; magnetization = 1.16 μB per formula unit; E above lowest polymorph = 0.065 eV per atom; density = 14.0 g/cm3; energy = -30.47 eV per cell
1.0
0.0000 2.9788 2.9788
2.9788 0.0000 2.9788
2.9788 2.9788 0.0000
Ta Pt B Co
1 1 1 1
direct
0.5000 0.5000 0.5000
0.2500 0.2500 0.2500
0.0000 0.0000 0.0000
0.7500 0.7500 0.7500

---

6.
TaCoBPt GGA-PBE optimized geometry; magnetization = 1.29 μB per formula unit; E above lowest polymorph = 0.000 eV per atom; density = 13.9 g/cm3; energy = -30.73 eV per cell
1.0
0.0000 2.9859 2.9859
2.9859 0.0000 2.9859
2.9859 2.9859 0.0000
Pt Co Ta B
1 1 1 1
direct
0.5000 0.5000 0.5000
0.7500 0.7500 0.7500
0.2500 0.2500 0.2500
0.0000 0.0000 0.0000

---

7.
CoBPtW GGA-PBE optimized geometry; magnetization = 0.05 μB per formula unit; E above lowest polymorph = 0.259 eV per atom; density = 14.5 g/cm3; energy = -29.91 eV per cell
1.0
2.3824 0.7485 3.3462
-0.2251 3.6905 1.9397
-1.7416 0.2661 3.7854
B W Pt Co
1 1 1 1
direct
0.0000 0.0000 0.0000
0.5000 0.5000 0.5000
0.2500 0.2500 0.2500
0.7500 0.7500 0.7500

---

8.
CoBPtW GGA-PBE optimized geometry; magnetization = 0.39 μB per formula unit; E above lowest polymorph = 0.000 eV per atom; density = 14.7 g/cm3; energy = -30.95 eV per cell
1.0
2.8870 0.8491 2.8697
-1.1476 1.0574 3.8543
0.6338 -2.6342 3.1544
Pt B Co W
1 1 1 1
direct
0.5000 0.5000 0.5000
0.0000 0.0000 0.0000
0.7500 0.7500 0.7500
0.2500 0.2500 0.2500

---

> Among the records above, which one has the highest density?

number 8

---

> energy of number 2 (CoB4Pt)?

-37.80 eV per cell

---

> Which value of energy does entry 5 give?

-30.47 eV per cell